## AlSi2Os (meta-GGA SCAN)

Data for a PBEsol-optimized structure of AlSi2Os.

Its total energy is -24.890 eV per atom. Its size of the total moment is 0.0 μB per formula unit. The theoretical density is 8.45 g cm⁻³. The calculation puts the formation energy from raw total energies at 0.03 eV/atom.

The structure belongs to space group Cmmm (No. 65); the cell edges are 5.089, 7.084 and 2.981 Å and the angles 90.00°, 90.00° and 90.00°. The asymmetric unit holds Al at (0.000, 0.000, 0.000), Si at (0.250, 0.250, 0.500) and Os at (0.000, 0.500, 0.000).